[1]
Compound: Ba2In12Ag
Source: Alexandria
Functional: PBE
Structure: relaxed

abc: 7.036 7.036 17.805
angles: 90.00 90.00 90.00
Fractional positions:
Ba1 0.250 0.750 0.245
Ba2 0.250 0.750 0.755
Ba3 0.750 0.250 0.245
Ba4 0.750 0.250 0.755
In1 0.000 0.000 0.085
In2 0.000 0.000 0.915
In3 0.000 0.500 0.085
In4 0.000 0.500 0.915
In5 0.081 0.581 0.431
In6 0.081 0.919 0.569
In7 0.250 0.250 0.181
In8 0.250 0.250 0.344
In9 0.250 0.250 0.656
In10 0.250 0.250 0.819
In11 0.419 0.581 0.569
In12 0.419 0.919 0.431
In13 0.500 0.000 0.085
In14 0.500 0.000 0.915
In15 0.500 0.500 0.085
In16 0.500 0.500 0.915
In17 0.581 0.081 0.569
In18 0.581 0.419 0.431
In19 0.750 0.750 0.181
In20 0.750 0.750 0.344
In21 0.750 0.750 0.656
In22 0.750 0.750 0.819
In23 0.919 0.081 0.431
In24 0.919 0.419 0.569
Ag1 0.250 0.750 0.000
Ag2 0.750 0.250 0.000

Output
Total magnetic moment   0.00 μB per formula unit
E_form   -0.2260 eV/atom
Density   6.63 g/cm³
DFT total energy   -85.90 eV for the cell shown
DOS at the Fermi energy   6.35 states/eV/f.u.

=====

[2]
Compound: BaIn2Ag
Source: Alexandria
Functional: PBE
Structure: relaxed

abc: 4.816 4.816 6.882
angles: 110.64 110.64 60.03
Fractional positions:
Ba1 0.000 0.000 0.000
In1 0.211 0.211 0.632
In2 0.789 0.789 0.368
Ag1 0.500 0.500 0.500

Output
Total magnetic moment   0.00 μB per formula unit
E_form   -0.2996 eV/atom
Density   6.24 g/cm³
DFT total energy   -11.45 eV for the cell shown
DOS at the Fermi energy   3.74 states/eV/f.u.

=====

[3]
Compound: BaIn2Ag6
Source: Alexandria
Functional: PBE
Structure: relaxed

abc: 8.159 8.159 8.159
angles: 149.82 124.48 64.50
Fractional positions:
Ba1 0.000 0.000 0.000
In1 0.369 0.869 0.500
In2 0.631 0.131 0.500
Ag1 0.006 0.312 0.694
Ag2 0.325 0.500 0.825
Ag3 0.382 0.688 0.694
Ag4 0.618 0.312 0.306
Ag5 0.675 0.500 0.175
Ag6 0.994 0.688 0.306

Output
Total magnetic moment   0.00 μB per formula unit
E_form   -0.0169 eV/atom
Density   7.56 g/cm³
DFT total energy   -24.66 eV for the cell shown
DOS at the Fermi energy   2.74 states/eV/f.u.

=====

[4]
Compound: BaInAg3
Source: Alexandria
Functional: PBE
Structure: relaxed

abc: 5.117 5.117 6.307
angles: 113.91 113.91 90.03
Fractional positions:
Ba1 0.000 0.000 0.000
In1 0.633 0.633 0.270
Ag1 0.247 0.752 0.497
Ag2 0.369 0.369 0.732
Ag3 0.752 0.247 0.497

Output
Total magnetic moment   0.00 μB per formula unit
E_form   -0.2080 eV/atom
Excess energy over the best structure of this formula in the dataset   0.0 meV/atom
Density   7.07 g/cm³
DFT total energy   -14.26 eV for the cell shown
DOS at the Fermi energy   2.45 states/eV/f.u.

=====

[5]
Compound: BaIn5Ag3
Source: Alexandria
Functional: PBE
Structure: relaxed

abc: 7.580 7.580 14.649
angles: 90.00 90.00 145.00
Fractional positions:
Ba1 0.159 0.841 0.750
Ba2 0.841 0.159 0.250
In1 0.000 0.000 0.000
In2 0.000 0.000 0.500
In3 0.196 0.804 0.070
In4 0.196 0.804 0.430
In5 0.448 0.552 0.650
In6 0.448 0.552 0.850
In7 0.552 0.448 0.150
In8 0.552 0.448 0.350
In9 0.804 0.196 0.570
In10 0.804 0.196 0.930
Ag1 0.127 0.873 0.250
Ag2 0.384 0.616 0.050
Ag3 0.384 0.616 0.450
Ag4 0.616 0.384 0.550
Ag5 0.616 0.384 0.950
Ag6 0.873 0.127 0.750

Output
Total magnetic moment   0.00 μB per formula unit
E_form   -0.1533 eV/atom
Density   7.12 g/cm³
DFT total energy   -51.10 eV for the cell shown
DOS at the Fermi energy   3.59 states/eV/f.u.

=====

[6]
Compound: Ba6InAg5
Source: Alexandria
Functional: PBE
Structure: relaxed

abc: 10.182 10.182 10.182
angles: 146.51 131.74 60.02
Fractional positions:
Ba1 0.082 0.332 0.749
Ba2 0.245 0.000 0.245
Ba3 0.417 0.668 0.749
Ba4 0.583 0.332 0.251
Ba5 0.755 0.000 0.755
Ba6 0.918 0.668 0.251
In1 0.500 0.500 0.000
Ag1 0.000 0.500 0.500
Ag2 0.168 0.168 0.000
Ag3 0.339 0.839 0.500
Ag4 0.661 0.161 0.500
Ag5 0.832 0.832 0.000

Output
Total magnetic moment   0.00 μB per formula unit
E_form   -0.2575 eV/atom
Density   5.70 g/cm³
DFT total energy   -31.62 eV for the cell shown
DOS at the Fermi energy   10.63 states/eV/f.u.